Density functional theory data (PBE-GGA) for a geometry-optimized Na6SrLi6 structure.

Structure (CIF):
```
data_Na6SrLi6
_chemical_formula_sum 'Na12 Sr2 Li12'
_cell_length_a 6.1987
_cell_length_b 11.2455
_cell_length_c 11.3124
_cell_angle_alpha 90.00
_cell_angle_beta 90.00
_cell_angle_gamma 90.00
_symmetry_space_group_name_H-M 'I m m m'
_symmetry_Int_Tables_number 71
_symmetry_space_group_name_Hall '-I 2 2'
loop_
_atom_site_label
_atom_site_type_symbol
_atom_site_fract_x
_atom_site_fract_y
_atom_site_fract_z
_atom_site_occupancy
Na1 Na 0.0000 0.0000 0.1555 1
Na2 Na 0.0000 0.3014 0.0000 1
Na3 Na 0.0000 0.3511 0.5000 1
Sr1 Sr 0.0000 0.0000 0.5000 1
Li1 Li 0.0000 0.5000 0.2219 1
Li2 Li 0.2500 0.2500 0.2500 1
```

Output
* mass density: 1.125 Mg/m³
* spin magnetization: 0.000 μB/atom
* E_form: 46 kJ/mol of formula units